{
  "formula": "LaBeTlPd",
  "functional": "PBE",
  "state": "relaxed",
  "energy_ev_per_cell": -16.91,
  "spacegroup": "No. 216",
  "lattice": [[-3.324, -2.582, 2.514], [-4.303, 2.033, 1.180], [-4.111, -1.509, -2.205]],
  "species": ["Tl", "Pd", "Be", "La"],
  "frac_coords": [[0.500, 0.500, 0.500], [0.250, 0.250, 0.250], [0.750, 0.750, 0.750], [0.000, 0.000, 0.000]]
}